Below is a geometry-optimized PaTaZn2O8 structure, with properties calculated at the PBE level.

POSCAR file:
```
PaTaZn2O8
1.0
3.339 -3.458 0.000
3.339 3.458 0.000
0.000 0.000 6.571
Pa Ta Zn O
1 1 2 8
direct
0.000 0.000 0.000
0.000 0.000 0.500
0.500 0.500 0.263
0.500 0.500 0.737
0.189 0.811 0.269
0.189 0.811 0.731
0.297 0.297 0.500
0.312 0.312 0.000
0.688 0.688 0.000
0.703 0.703 0.500
0.811 0.189 0.269
0.811 0.189 0.731
```

Its volume is 12.6 Å³/atom. The electronic total energy comes out at -7.435 eV/atom. As for the formation energy from raw total energies: -2.138 eV/atom. As for the total magnetization: 0.8 μB/f.u.